VASP calculation (PBE) on crystalline Cs2TlI3 at its relaxed geometry.

a b c (Å): 15.6255 9.6799 9.4993
angles (deg): 90.00 90.00 90.00
Space group Cmcm (No. 63)
Asymmetric unit:
Cs: 0.1743 0.1765 0.2500 (multiplicity 8)
Tl: 0.0000 0.4247 0.7500 (multiplicity 4)
I: 0.0000 0.0953 0.7500 (multiplicity 4)
I: 0.1648 0.5000 0.0000 (multiplicity 8)

Relative energy among the computed polymorphs (meV per atom): 43
Final energy (eV per atom): -2.6552
Total magnetization (μB/cell): 0.00